Pr2NdSi2Ge2Pt4 after structural relaxation, computed with PBE.

```
Pr2NdSi2Ge2Pt4
1.0
12.743 -1.069 0.481
11.723 4.572 2.326
-12.406 -2.802 1.413
Ge Nd Pr Pt Si
2 1 2 4 2
Direct
0.450 0.450 0.000 Ge
0.550 0.550 0.000 Ge
0.000 0.000 0.000 Nd
0.647 0.147 0.500 Pr
0.353 0.853 0.500 Pr
0.247 0.247 0.000 Pt
0.753 0.753 0.000 Pt
0.899 0.399 0.500 Pt
0.101 0.601 0.500 Pt
0.803 0.303 0.500 Si
0.197 0.697 0.500 Si
```

Output
Raw total energy ... -6.40 eV per atom


NiBi10S10 after structural relaxation, computed with PBE.

```
NiBi10S10
1.0
-4.325 -8.367 5.359
-2.242 -3.615 -7.454
10.938 -5.922 -0.419
Bi Ni S
20 2 20
Direct
0.000 0.235 0.000 Bi
0.000 0.765 0.000 Bi
0.633 0.223 0.088 Bi
0.633 0.777 0.088 Bi
0.361 0.000 0.173 Bi
0.248 0.500 0.177 Bi
0.748 0.500 0.323 Bi
0.861 0.000 0.327 Bi
0.133 0.223 0.412 Bi
0.133 0.777 0.412 Bi
0.500 0.235 0.500 Bi
0.500 0.765 0.500 Bi
0.867 0.223 0.588 Bi
0.867 0.777 0.588 Bi
0.139 0.000 0.673 Bi
0.252 0.500 0.677 Bi
0.752 0.500 0.823 Bi
0.639 0.000 0.827 Bi
0.367 0.223 0.912 Bi
0.367 0.777 0.912 Bi
0.500 0.000 0.000 Ni
0.000 0.000 0.500 Ni
0.832 0.500 0.024 S
0.849 0.000 0.083 S
0.493 0.500 0.147 S
0.156 0.195 0.189 S
0.156 0.805 0.189 S
0.656 0.195 0.311 S
0.656 0.805 0.311 S
0.993 0.500 0.353 S
0.349 0.000 0.417 S
0.332 0.500 0.476 S
0.668 0.500 0.524 S
0.651 0.000 0.583 S
0.007 0.500 0.647 S
0.344 0.195 0.689 S
0.344 0.805 0.689 S
0.844 0.195 0.811 S
0.844 0.805 0.811 S
0.507 0.500 0.853 S
0.151 0.000 0.917 S
0.168 0.500 0.976 S
```

Output
Raw total energy ... -4.25 eV per atom